# PBE TcPPdO, relaxed
data_TcPPdO
_space_group_name_H-M_alt 'P 4/n m m'
_space_group_IT_number 129
_cell_length_a 3.691
_cell_length_b 3.691
_cell_length_c 7.275
_cell_angle_alpha 90.00
_cell_angle_beta 90.00
_cell_angle_gamma 90.00
loop_
_space_group_symop_operation_xyz
'x,y,z'
'-x,-y,-z'
'-y+1/2,x,z'
'y+1/2,-x,-z'
'-x+1/2,-y+1/2,z'
'x+1/2,y+1/2,-z'
'y,-x+1/2,z'
'-y,x+1/2,-z'
'x+1/2,-y,-z'
'-x+1/2,y,z'
'-y,-x,-z'
'y,x,z'
'-x,y+1/2,-z'
'x,-y+1/2,z'
'y+1/2,x+1/2,-z'
'-y+1/2,-x+1/2,z'
loop_
_atom_site_label
_atom_site_type_symbol
_atom_site_fract_x
_atom_site_fract_y
_atom_site_fract_z
Tc1 Tc 0.250 0.250 0.167
P1 P 0.250 0.250 0.722
Pd1 Pd 0.250 0.750 0.500
O1 O 0.250 0.750 0.000
# - energy (eV/cell) = -53.350



# PBE TcGe2Te, relaxed
data_TcGe2Te
_space_group_name_H-M_alt 'F -4 3 m'
_space_group_IT_number 216
_space_group_name_Hall 'F -4 2 3'
_cell_length_a 6.646
_cell_length_b 6.646
_cell_length_c 6.646
_cell_angle_alpha 90.00
_cell_angle_beta 90.00
_cell_angle_gamma 90.00
loop_
_atom_site_label
_atom_site_type_symbol
_atom_site_fract_x
_atom_site_fract_y
_atom_site_fract_z
Tc1 Tc 0.000 0.000 0.000
Ge1 Ge 0.000 0.000 0.500
Ge2 Ge 0.250 0.250 0.750
Te1 Te 0.250 0.250 0.250
# - energy (eV/cell) = -83.666



# PBE Y2TlHg, relaxed
data_Y2TlHg
_space_group_name_H-M_alt 'F -4 3 m'
_space_group_IT_number 216
_space_group_name_Hall 'F -4 2 3'
_cell_length_a 7.592
_cell_length_b 7.592
_cell_length_c 7.592
_cell_angle_alpha 90.00
_cell_angle_beta 90.00
_cell_angle_gamma 90.00
loop_
_atom_site_label
_atom_site_type_symbol
_atom_site_fract_x
_atom_site_fract_y
_atom_site_fract_z
Y1 Y 0.000 0.000 0.000
Y2 Y 0.250 0.250 0.250
Tl1 Tl 0.000 0.000 0.500
Hg1 Hg 0.250 0.250 0.750
# - energy (eV/cell) = -61.192



# PBE Er4Mg3Fe2, relaxed
data_Er4Mg3Fe2
_space_group_name_H-M_alt 'P 1 2/m 1'
_space_group_IT_number 10
_cell_length_a 7.425
_cell_length_b 3.729
_cell_length_c 8.101
_cell_angle_alpha 90.00
_cell_angle_beta 109.91
_cell_angle_gamma 90.00
loop_
_space_group_symop_operation_xyz
'x,y,z'
'-x,-y,-z'
'-x,y,-z'
'x,-y,z'
loop_
_atom_site_label
_atom_site_type_symbol
_atom_site_fract_x
_atom_site_fract_y
_atom_site_fract_z
Er1 Er 0.095 0.000 0.226
Er2 Er 0.392 0.000 0.682
Mg1 Mg 0.000 0.500 0.500
Mg2 Mg 0.291 0.500 0.003
Fe1 Fe 0.360 0.500 0.400
# - energy (eV/cell) = -40.040



# PBE Sr2NiAgH6, relaxed
data_Sr2NiAgH6
_space_group_name_H-M_alt 'R -3'
_space_group_IT_number 148
_space_group_name_Hall '-R 3'
_cell_length_a 5.3724
_cell_length_b 5.3724
_cell_length_c 13.1746
_cell_angle_alpha 90.00
_cell_angle_beta 90.00
_cell_angle_gamma 120.00
loop_
_atom_site_label
_atom_site_type_symbol
_atom_site_fract_x
_atom_site_fract_y
_atom_site_fract_z
Sr1 Sr 0.0000 0.0000 0.2504
Ni1 Ni 0.0000 0.0000 0.0000
Ag1 Ag 0.0000 0.0000 0.5000
H1 H 0.0347 0.5189 0.7418
# - energy (eV/cell) = -106.480



# PBE Cs2NbTeS2, relaxed
data_Cs2NbTeS2
_space_group_name_H-M_alt 'C 1 2/m 1'
_space_group_IT_number 12
_cell_length_a 14.808
_cell_length_b 7.633
_cell_length_c 10.793
_cell_angle_alpha 90.00
_cell_angle_beta 127.19
_cell_angle_gamma 90.00
loop_
_space_group_symop_operation_xyz
'x,y,z'
'-x,-y,-z'
'-x,y,-z'
'x,-y,z'
'x+1/2,y+1/2,z'
'-x+1/2,-y+1/2,-z'
'-x+1/2,y+1/2,-z'
'x+1/2,-y+1/2,z'
loop_
_atom_site_label
_atom_site_type_symbol
_atom_site_fract_x
_atom_site_fract_y
_atom_site_fract_z
Cs1 Cs 0.069 0.000 0.352
Cs2 Cs 0.225 0.500 0.839
Nb1 Nb 0.105 0.500 0.159
Te1 Te 0.105 0.500 0.404
S1 S 0.000 0.252 0.000
S2 S 0.219 0.000 0.784
# - energy (eV/cell) = -119.184



# PBE CsKPt, relaxed
data_CsKPt
_space_group_name_H-M_alt 'F -4 3 m'
_space_group_IT_number 216
_space_group_name_Hall 'F -4 2 3'
_cell_length_a 7.924
_cell_length_b 7.924
_cell_length_c 7.924
_cell_angle_alpha 90.00
_cell_angle_beta 90.00
_cell_angle_gamma 90.00
loop_
_atom_site_label
_atom_site_type_symbol
_atom_site_fract_x
_atom_site_fract_y
_atom_site_fract_z
Cs1 Cs 0.000 0.000 0.000
K1 K 0.000 0.000 0.500
Pt1 Pt 0.250 0.250 0.250
# - energy (eV/cell) = -32.260



# PBE CuSiGe2, relaxed
data_CuSiGe2
_space_group_name_H-M_alt 'F -4 3 m'
_space_group_IT_number 216
_space_group_name_Hall 'F -4 2 3'
_cell_length_a 6.391
_cell_length_b 6.391
_cell_length_c 6.391
_cell_angle_alpha 90.00
_cell_angle_beta 90.00
_cell_angle_gamma 90.00
loop_
_atom_site_label
_atom_site_type_symbol
_atom_site_fract_x
_atom_site_fract_y
_atom_site_fract_z
Cu1 Cu 0.000 0.000 0.000
Si1 Si 0.250 0.250 0.750
Ge1 Ge 0.000 0.000 0.500
Ge2 Ge 0.250 0.250 0.250
# - energy (eV/cell) = -66.662



# PBE PmBeTe, relaxed
data_PmBeTe
_space_group_name_H-M_alt 'F -4 3 m'
_space_group_IT_number 216
_space_group_name_Hall 'F -4 2 3'
_cell_length_a 7.051
_cell_length_b 7.051
_cell_length_c 7.051
_cell_angle_alpha 90.00
_cell_angle_beta 90.00
_cell_angle_gamma 90.00
loop_
_atom_site_label
_atom_site_type_symbol
_atom_site_fract_x
_atom_site_fract_y
_atom_site_fract_z
Pm1 Pm 0.000 0.000 0.000
Be1 Be 0.000 0.000 0.500
Te1 Te 0.250 0.250 0.750
# - energy (eV/cell) = -43.806



# PBE Ba2ZrPd, relaxed
data_Ba2ZrPd
_space_group_name_H-M_alt 'F -4 3 m'
_space_group_IT_number 216
_space_group_name_Hall 'F -4 2 3'
_cell_length_a 7.744
_cell_length_b 7.744
_cell_length_c 7.744
_cell_angle_alpha 90.00
_cell_angle_beta 90.00
_cell_angle_gamma 90.00
loop_
_atom_site_label
_atom_site_type_symbol
_atom_site_fract_x
_atom_site_fract_y
_atom_site_fract_z
Ba1 Ba 0.000 0.000 0.000
Ba2 Ba 0.250 0.250 0.250
Zr1 Zr 0.000 0.000 0.500
Pd1 Pd 0.250 0.250 0.750
# - energy (eV/cell) = -63.148



# PBE ScPaNi, relaxed
data_ScPaNi
_space_group_name_H-M_alt 'F -4 3 m'
_space_group_IT_number 216
_space_group_name_Hall 'F -4 2 3'
_cell_length_a 6.387
_cell_length_b 6.387
_cell_length_c 6.387
_cell_angle_alpha 90.00
_cell_angle_beta 90.00
_cell_angle_gamma 90.00
loop_
_atom_site_label
_atom_site_type_symbol
_atom_site_fract_x
_atom_site_fract_y
_atom_site_fract_z
Sc1 Sc 0.000 0.000 0.000
Pa1 Pa 0.000 0.000 0.500
Ni1 Ni 0.250 0.250 0.250
# - energy (eV/cell) = -84.335
# - formation energy (meV/atom) = 103



# PBE LiMgCu2Bi2, relaxed
data_LiMgCu2Bi2
_space_group_name_H-M_alt 'P 4 m m'
_space_group_IT_number 99
_cell_length_a 4.339
_cell_length_b 4.339
_cell_length_c 6.432
_cell_angle_alpha 90.00
_cell_angle_beta 90.00
_cell_angle_gamma 90.00
loop_
_space_group_symop_operation_xyz
'x,y,z'
'-y,x,z'
'-x,-y,z'
'y,-x,z'
'-x,y,z'
'y,x,z'
'x,-y,z'
'-y,-x,z'
loop_
_atom_site_label
_atom_site_type_symbol
_atom_site_fract_x
_atom_site_fract_y
_atom_site_fract_z
Li1 Li 0.000 0.000 0.000
Mg1 Mg 0.500 0.500 0.486
Cu1 Cu 0.000 0.500 0.747
Bi1 Bi 0.000 0.000 0.462
Bi2 Bi 0.500 0.500 0.017
# - energy (eV/cell) = -19.884